1.
Material: CuTcW3
Method: DFT, PBE-GGA
State: relaxed

Summary:
**Total magnetization**: 0.00 μB per formula unit
**Formation energy from the elements**: 10.49 eV/f.u.
**Distance to the lowest polymorph of the same formula**: 160.9 meV per atom
**SG**: Pm-3m

Lattice parameters (Å, degrees): 4.6896 4.6896 4.6896 90.00 90.00 90.00
Sites, in units of the cell vectors:
W: 0.5000 0.0000 0.0000
W: 0.0000 0.5000 0.0000
W: 0.0000 0.0000 0.5000
Cu: 0.5000 0.5000 0.5000
Tc: 0.0000 0.0000 0.0000

=====

2.
Material: TaCuHg2
Method: DFT, PBE-GGA
State: relaxed

Summary:
**Total magnetization**: 0.00 μB per formula unit
**Formation energy from the elements**: 2.35 eV/f.u.
**SG**: I-4m2

Lattice parameters (Å, degrees): 5.1351 5.1351 5.1351 131.72 131.72 70.68
Sites, in units of the cell vectors:
Hg: 0.2500 0.7500 0.5000
Hg: 0.0000 0.0000 0.0000
Cu: 0.7500 0.2500 0.5000
Ta: 0.5000 0.5000 0.0000